No. 1
DFT (PBE) results for a relaxed structure of LuScNi2B2C2.

a = 3.4560 Å, b = 3.4560 Å, c = 7.5008 Å
α = 90.00°, β = 90.00°, γ = 90.00°
Closest atoms and distances in Å follow each position.
Sites, in units of the cell vectors:
1 Lu 0.0000 0.0000 0.0000  5 C 2.32-2.45
2 Sc 0.5000 0.5000 0.6865  5 C 2.25-2.44
3 Ni 0.0000 0.5000 0.3420  4 B 2.06-2.09
4 Ni 0.5000 0.0000 0.3420  4 B 2.06-2.09
5 B 0.0000 0.0000 0.4925  1 C 1.48
6 B 0.5000 0.5000 0.1864  1 C 1.50
7 C 0.0000 0.0000 0.6904  1 B 1.48
8 C 0.5000 0.5000 0.9869  1 B 1.50

Computed properties:
- Symmetry: No. 99
- Magnetic moment: 0.00 μB per formula unit
- DFT total energy: -7.273 eV/atom



No. 2
DFT (PBE) results for a relaxed structure of TmLuNi2B2C2.

a = 3.5210 Å, b = 3.5210 Å, c = 7.5261 Å
α = 90.00°, β = 90.00°, γ = 90.00°
Closest atoms and distances in Å follow each position.
Sites, in units of the cell vectors:
1 Tm 0.0000 0.0000 0.0000  5 C 2.37-2.49
2 Lu 0.5000 0.5000 0.3244  5 C 2.35-2.49
3 Ni 0.0000 0.5000 0.6624  4 B 2.09
4 Ni 0.5000 0.0000 0.6624  4 B 2.09
5 B 0.0000 0.0000 0.5135  1 C 1.49
6 B 0.5000 0.5000 0.8131  1 C 1.49
7 C 0.0000 0.0000 0.3152  1 B 1.49
8 C 0.5000 0.5000 0.0116  1 B 1.49

Computed properties:
- Symmetry: No. 99
- Magnetic moment: 0.01 μB per formula unit
- DFT total energy: -7.055 eV/atom



No. 3
DFT (PBE) results for a relaxed structure of Tm2Lu2B3C4.

a = 3.4264 Å, b = 3.5189 Å, c = 11.7673 Å
α = 92.71°, β = 96.09°, γ = 90.15°
Closest atoms and distances in Å follow each position.
Sites, in units of the cell vectors:
1 Tm 0.1950 0.4754 0.3499  5 C 2.46-2.67
2 Tm 0.8050 0.5246 0.6501  5 C 2.46-2.67
3 Lu 0.3848 0.0534 0.8591  4 C 2.22-2.47
4 Lu 0.6152 0.9466 0.1409  4 C 2.22-2.47
5 B 0.0000 0.5000 0.0000  2 C 1.47
6 B 0.2656 0.0070 0.5404  1 C 1.50
7 B 0.7344 0.9930 0.4596  1 C 1.50
8 C 0.1129 0.4367 0.1214  1 B 1.47
9 C 0.3124 0.0278 0.6691  1 B 1.50
10 C 0.6876 0.9722 0.3309  1 B 1.50
11 C 0.8871 0.5633 0.8786  1 B 1.47

Computed properties:
- E above lowest polymorph: 0 meV/atom
- Symmetry: No. 2
- Magnetic moment: 0.00 μB per formula unit
- DFT total energy: -7.336 eV/atom